Entry 1:
## Sm6AlIn (GGA-PBE)

Data for a relaxed Sm6AlIn crystal.

The calculation puts the density of states at the Fermi level at 1.7764 states/eV/atom. The value obtained for the energy of formation is -220 meV per atom. As for the space-group type: P4/mmm.

Cell: 4.8939 4.8939 9.7845 Å, 90.00 90.00 90.00°
Closest atoms and distances in Å follow each position.
Sites, in units of the cell vectors:
Sm 0.5000 0.0000 0.2564  2 Al 3.42, 8 Sm 3.42-3.50, 2 In 3.50
Sm 0.0000 0.5000 0.7436  8 Sm 3.42-3.50, 2 Al 3.42, 2 In 3.50
Sm 0.5000 0.5000 0.5000  8 Sm 3.42, 4 Al 3.46
Sm 0.5000 0.5000 0.0000  4 In 3.46, 8 Sm 3.50
Sm 0.0000 0.5000 0.2564  2 Al 3.42, 8 Sm 3.42-3.50, 2 In 3.50
Sm 0.5000 0.0000 0.7436  8 Sm 3.42-3.50, 2 Al 3.42, 2 In 3.50
In 0.0000 0.0000 0.0000  12 Sm 3.46-3.50
Al 0.0000 0.0000 0.5000  12 Sm 3.42-3.46


Entry 2:
## CeYHf (GGA-PBE)

Data for a relaxed CeYHf crystal.

The calculation puts the density of states at the Fermi level at 2.0698 states/eV/atom. The value obtained for the energy of formation is 151 meV per atom. As for the space-group type: I4mm.

Cell: 3.2892 3.2892 7.9522 Å, 101.94 101.94 90.00°
Closest atoms and distances in Å follow each position.
Sites, in units of the cell vectors:
Hf 0.3326 0.3326 0.6652  4 Hf 3.29, 4 Ce 3.32, 4 Y 3.34
Y 0.9905 0.9905 0.9810  4 Y 3.29, 4 Hf 3.34, 4 Ce 3.67
Ce 0.6769 0.6769 0.3538  4 Ce 3.29, 4 Hf 3.32, 4 Y 3.67


Entry 3:
## Ag2Pd2S (GGA-PBE)

Data for a relaxed Ag2Pd2S crystal.

The calculation puts the density of states at the Fermi level at 0.3101 states/eV/atom. For the uncorrected formation energy, the calculation gives -1.9 kJ/mol of atoms. As for the space-group type: P4/mbm.

Cell: 6.2600 6.2600 4.4737 Å, 90.00 90.00 90.00°
Closest atoms and distances in Å follow each position.
Sites, in units of the cell vectors:
S 0.5000 0.5000 0.0000  4 Pd 2.35
Ag 0.6553 0.8447 0.5000  1 Ag 2.75, 6 Pd 2.76-2.99
S 0.0000 0.0000 0.0000  4 Pd 2.35
Pd 0.6622 0.1622 0.0000  2 S 2.35
Ag 0.1553 0.6553 0.5000  1 Ag 2.75, 6 Pd 2.76-2.99
Pd 0.3378 0.8378 0.0000  2 S 2.35
Pd 0.1622 0.3378 0.0000  2 S 2.35
Ag 0.8447 0.3447 0.5000  1 Ag 2.75, 6 Pd 2.76-2.99
Ag 0.3447 0.1553 0.5000  1 Ag 2.75, 6 Pd 2.76-2.99
Pd 0.8378 0.6622 0.0000  2 S 2.35